[1]
VASP calculation (PBE) on an optimized crystal structure of K2CeSc2Se6.

a = 6.9995 Å, b = 6.9995 Å, c = 8.1741 Å
α = 98.05°, β = 98.05°, γ = 120.38°
Last column: nearest neighbours and their distance in Å.
Fractional positions:
K 0.1643 0.8357 0.0000  6 Se 3.31-3.36
Ce 0.0000 0.0000 0.5000  6 Se 2.86
Se 0.9364 0.5909 0.3053  2 Sc 2.75, 1 Ce 2.86
Sc 0.3329 0.6671 0.5000  6 Se 2.75-2.76
Se 0.4091 0.0636 0.6947  2 Sc 2.75, 1 Ce 2.86
Se 0.7174 0.7174 0.6949  2 Sc 2.76, 1 Ce 2.86
Se 0.5909 0.9364 0.3053  2 Sc 2.75, 1 Ce 2.86
Se 0.0636 0.4091 0.6947  2 Sc 2.75, 1 Ce 2.86
Sc 0.6671 0.3329 0.5000  6 Se 2.75-2.76
K 0.8357 0.1643 0.0000  6 Se 3.31-3.36
Se 0.2826 0.2826 0.3051  2 Sc 2.76, 1 Ce 2.86

Summary:
The raw formation energy is -1.64 eV per atom. The symmetry is C2/m. As for the total energy: -59.694 eV/f.u.

[2]
VASP calculation (PBE) on an optimized crystal structure of TlCr5.

a = 5.1762 Å, b = 5.1762 Å, c = 6.0027 Å
α = 74.15°, β = 74.15°, γ = 33.18°
Last column: nearest neighbours and their distance in Å.
Fractional positions:
Tl 0.2851 0.2851 0.9051  10 Cr 2.76-2.96, 2 Tl 2.96
Cr 0.3343 0.3343 0.3687  8 Cr 2.40-2.62
Cr 0.6373 0.6373 0.6434  1 Cr 2.10
Cr 0.9609 0.9609 0.5516  6 Cr 2.40-2.47
Cr 0.9827 0.9827 0.0695  4 Cr 2.46-2.72
Cr 0.6330 0.6330 0.2949  1 Cr 2.10

Summary:
The energy relative to the elements is 296 kJ/mol of formula units. The value obtained for the density of states at the Fermi level is 6.01 states/eV per cell. The energy above the most stable polymorph in this dataset comes out at 208 meV/atom. The symmetry is Cm. As for the total energy: -47.418 eV/f.u.

[3]
VASP calculation (PBE) on an optimized crystal structure of TlZnP.

a = 4.5686 Å, b = 4.5686 Å, c = 4.5686 Å
α = 60.00°, β = 60.00°, γ = 60.00°
Last column: nearest neighbours and their distance in Å.
Fractional positions:
P 0.0000 0.0000 0.0000  4 Zn 2.80
Tl 0.5000 0.5000 0.5000  4 Zn 2.80
Zn 0.7500 0.7500 0.7500  4 Tl 2.80, 4 P 2.80

Summary:
The energy relative to the elements is 80 kJ/mol of formula units. The symmetry is F-43m. As for the total energy: -8.225 eV/f.u.

[4]
VASP calculation (PBE) on an optimized crystal structure of BrF.

a = 4.0173 Å, b = 4.0909 Å, c = 4.2151 Å
α = 67.24°, β = 77.22°, γ = 66.36°
Last column: nearest neighbours and their distance in Å.
Fractional positions:
F 0.3636 0.3696 0.2656  1 Br 1.84
Br 0.4806 0.3491 0.6725  1 F 1.84

Summary:
The raw formation energy is -0.36 eV per atom. The symmetry is P1. As for the total energy: -4.274 eV/f.u.

[5]
VASP calculation (PBE) on an optimized crystal structure of Pr2Nd2Th.

a = 3.6871 Å, b = 3.6871 Å, c = 15.0161 Å
α = 82.95°, β = 82.95°, γ = 60.00°
Last column: nearest neighbours and their distance in Å.
Fractional positions:
Pr 0.8667 0.8667 0.4000  9 Pr 3.66-3.69, 3 Nd 3.77
Pr 0.1333 0.1333 0.6000  9 Pr 3.66-3.69, 3 Nd 3.77
Nd 0.3969 0.3969 0.8093  3 Th 3.54, 6 Nd 3.69, 3 Pr 3.77
Nd 0.6031 0.6031 0.1907  3 Th 3.54, 6 Nd 3.69, 3 Pr 3.77
Th 0.0000 0.0000 0.0000  6 Nd 3.54, 6 Th 3.69

Summary:
The energy relative to the elements is 7 kJ/mol of formula units. The value obtained for the density of states at the Fermi level is 7.36 states/eV per cell. The energy above the most stable polymorph in this dataset comes out at 0 meV/atom. The symmetry is R-3m. As for the total energy: -26.444 eV/f.u.

[6]
VASP calculation (PBE) on an optimized crystal structure of ReSi4Te.

a = 5.1603 Å, b = 5.1603 Å, c = 5.1603 Å
α = 60.00°, β = 60.00°, γ = 60.00°
Last column: nearest neighbours and their distance in Å.
Fractional positions:
Si 0.3749 0.8752 0.3749  6 Si 2.58
Si 0.3749 0.3749 0.8752  6 Si 2.58
Si 0.3749 0.3749 0.3749  6 Si 2.58
Re 0.0000 0.0000 0.0000  12 Si 3.03, 4 Te 3.16
Te 0.7500 0.7500 0.7500  12 Si 3.03, 4 Re 3.16
Si 0.8752 0.3749 0.3749  6 Si 2.58

Summary:
The raw formation energy is 0.91 eV per atom. The value obtained for the density of states at the Fermi level is 5.31 states/eV per cell. The symmetry is F-43m. As for the total energy: -31.808 eV/f.u.